1.
Below is crystalline Co2IrCl at its relaxed geometry, with properties calculated at the GGA-PBE level.

Lattice parameters (Å, degrees): 2.804 4.436 8.511 90.00 90.00 90.00
Fractional positions:
Co: 0.000 0.000 0.234
Co: 0.000 0.000 0.766
Co: 0.500 0.500 0.266
Co: 0.500 0.500 0.734
Ir: 0.000 0.500 0.000
Ir: 0.500 0.000 0.500
Cl: 0.000 0.500 0.500
Cl: 0.500 0.000 0.000

Properties
Its space-group type is Immm. The value obtained for the formation energy from raw total energies is 0.732 eV/atom.

2.
Below is crystalline Tm2TiGa at its relaxed geometry, with properties calculated at the GGA-PBE level.

Lattice parameters (Å, degrees): 4.567 4.567 4.291 90.00 90.00 90.00
Fractional positions:
Tm: 0.000 0.500 0.000
Tm: 0.500 0.000 0.000
Ti: 0.000 0.000 0.500
Ga: 0.500 0.500 0.500

Properties
The value obtained for the total energy is -20.48 eV for the cell shown. Its space-group type is P4/mmm.

3.
Below is crystalline HgRh2 at its relaxed geometry, with properties calculated at the GGA-PBE level.

Lattice parameters (Å, degrees): 6.312 6.312 6.312 90.00 90.00 90.00
Fractional positions:
Hg: 0.000 0.000 0.000
Hg: 0.000 0.500 0.500
Hg: 0.500 0.000 0.500
Hg: 0.500 0.500 0.000
Rh: 0.110 0.610 0.890
Rh: 0.110 0.890 0.390
Rh: 0.390 0.110 0.890
Rh: 0.390 0.390 0.390
Rh: 0.610 0.610 0.610
Rh: 0.610 0.890 0.110
Rh: 0.890 0.110 0.610
Rh: 0.890 0.390 0.110

Properties
The value obtained for the total energy is -47.78 eV for the cell shown. Its space-group type is Pa-3.

4.
Below is crystalline Li2YTcHg at its relaxed geometry, with properties calculated at the GGA-PBE level.

Lattice parameters (Å, degrees): 4.524 4.524 5.323 90.00 90.00 90.00
Fractional positions:
Li: 0.000 0.500 0.000
Li: 0.500 0.000 0.000
Y: 0.000 0.000 0.500
Tc: 0.500 0.500 0.500
Hg: 0.500 0.500 0.000

Properties
The value obtained for the total energy is -18.71 eV for the cell shown. Its space-group type is P4/mmm.

5.
Below is crystalline Na3RuO4 at its relaxed geometry, with properties calculated at the GGA-PBE level.

Lattice parameters (Å, degrees): 7.730 6.452 4.903 90.00 90.00 90.00
Fractional positions:
Na: 0.000 0.161 0.000
Na: 0.241 0.327 0.501
Na: 0.259 0.673 0.001
Na: 0.500 0.839 0.500
Na: 0.741 0.673 0.001
Na: 0.759 0.327 0.501
Ru: 0.000 0.825 0.464
Ru: 0.500 0.175 0.964
O: 0.000 0.111 0.512
O: 0.000 0.817 0.077
O: 0.208 0.689 0.518
O: 0.292 0.311 0.018
O: 0.500 0.183 0.577
O: 0.500 0.889 0.012
O: 0.708 0.311 0.018
O: 0.792 0.689 0.518

Properties
Its space-group type is Pmn2_1. The value obtained for the formation energy from raw total energies is -1.270 eV/atom.

6.
Below is crystalline Te2Pd9Au at its relaxed geometry, with properties calculated at the GGA-PBE level.

Lattice parameters (Å, degrees): 4.084 4.084 12.024 90.00 90.00 90.00
Fractional positions:
Te: 0.000 0.000 0.181
Te: 0.000 0.000 0.819
Pd: 0.000 0.500 0.000
Pd: 0.000 0.500 0.335
Pd: 0.000 0.500 0.665
Pd: 0.500 0.000 0.000
Pd: 0.500 0.000 0.335
Pd: 0.500 0.000 0.665
Pd: 0.500 0.500 0.161
Pd: 0.500 0.500 0.500
Pd: 0.500 0.500 0.839
Au: 0.000 0.000 0.500

Properties
Its space-group type is P4/mmm. The value obtained for the formation energy from raw total energies is -0.171 eV/atom.

Size of the total moment for every record listed, in sequence, given in μB/f.u.: 4.12; 1.78; 1.89; 0.30; 1.01; 0.00.
Fermi-level density of states for every record listed, in sequence, given in states/eV per atom: 1.192; 1.076; 1.404; 0.588; 0.787; 0.705.